A relaxed Pm2Ni2Ru crystal. Source: Alexandria via LeMat-Bulk, functional PBE-GGA.

Computed properties:
ΔH_f (0 K) = -0.2420 eV per atom
theoretical density = 8.17 Mg/m³

Cell: 10.4696 4.1162 10.5953 Å, 90.00 115.20 90.00°
With the nearest neighbours (Å) after each atom.
Space group C2/m (No. 12)
Inequivalent atoms, fractional coordinates:
Pm  0.0994  0.0000  0.3932 (multiplicity 4)  6 Ni 2.93-3.04, 2 Ru 2.99
Pm  0.1985  0.5000  0.1401 (multiplicity 4)  7 Ni 3.02-3.32, 4 Ru 3.03-3.13
Ni  0.0397  0.0000  0.9127 (multiplicity 4)  1 Ni 2.33, 2 Ru 2.40
Ni  0.1086  0.5000  0.6039 (multiplicity 4)  1 Ni 2.40, 1 Ru 2.40
Ru  0.0735  0.5000  0.8136 (multiplicity 4)  3 Ni 2.40